1.
Eu2SbPb | GGA-PBE | optimized geometry

Properties
Formation energy from raw total energies in eV/atom: -0.65

Cell lengths 7.956, 7.956, 7.956 Å; angles 90.00, 90.00, 90.00 degrees
Space group Fm-3m (No. 225)
Inequivalent atoms, fractional coordinates:
Eu 0.250 0.250 0.250 [8 per cell]
Sb 0.000 0.000 0.000 [4 per cell]
Pb 0.000 0.000 0.500 [4 per cell]

2.
ThCdAgHg | GGA-PBE | optimized geometry

Properties
Formation enthalpy at 0 K in meV/atom: -201

Cell lengths 7.264, 7.264, 7.264 Å; angles 90.00, 90.00, 90.00 degrees
Space group F-43m (No. 216)
Inequivalent atoms, fractional coordinates:
Th 0.000 0.000 0.000 [4 per cell]
Cd 0.000 0.000 0.500 [4 per cell]
Ag 0.250 0.250 0.750 [4 per cell]
Hg 0.250 0.250 0.250 [4 per cell]

Calculated volume across the listed records, respectively: 31.5 24.0 A^3/atom.